Entry from the Alexandria database: Nd2FeC4 after structural relaxation (PBE).

## Properties
* density of states at the Fermi level: 3.59 states/eV/cell
* formation energy: -172 meV/atom

Cell: 7.542 10.212 5.210 Å, 90.00 90.00 90.00°
Space group Ibam (No. 72)
Unique sites:
Nd: 0.163 0.144 0.000 (multiplicity 8)
Fe: 0.000 0.500 0.250 (multiplicity 4)
C: 0.159 0.422 0.000 (multiplicity 8)
C: 0.170 0.125 0.500 (multiplicity 8)

***

Entry from the Alexandria database: As3PbBr after structural relaxation (PBE).

## Properties
* density of states at the Fermi level: 5.82 states/eV/cell
* uncorrected formation energy: 1.10 eV/atom

Cell: 5.473 5.473 5.473 Å, 90.00 90.00 90.00°
Space group Pm-3m (No. 221)
Unique sites:
As: 0.000 0.000 0.500 (multiplicity 3)
Pb: 0.000 0.000 0.000 (multiplicity 1)
Br: 0.500 0.500 0.500 (multiplicity 1)

***

Entry from the Alexandria database: Dy4HRh2 after structural relaxation (PBE).

## Properties
* density of states at the Fermi level: 9.85 states/eV/cell
* uncorrected energy: -80.85 eV per cell

Cell: 4.587 4.587 14.318 Å, 90.00 90.00 90.00°
Space group I4/mmm (No. 139)
Unique sites:
Dy: 0.000 0.000 0.188 (multiplicity 4)
Dy: 0.000 0.500 0.000 (multiplicity 4)
H: 0.000 0.000 0.000 (multiplicity 2)
Rh: 0.000 0.000 0.374 (multiplicity 4)

***

Entry from the Alexandria database: GaBMo3 after structural relaxation (PBE).

## Properties
* density of states at the Fermi level: 3.70 states/eV/cell
* formation energy: 188 meV/atom

Cell: 4.197 4.197 4.197 Å, 90.00 90.00 90.00°
Space group Pm-3m (No. 221)
Unique sites:
Ga: 0.000 0.000 0.000 (multiplicity 1)
B: 0.500 0.500 0.500 (multiplicity 1)
Mo: 0.000 0.500 0.500 (multiplicity 3)

***

Entry from the Alexandria database: LiHg8Au2 after structural relaxation (PBE).

## Properties
* density of states at the Fermi level: 5.39 states/eV/cell
* formation energy: -38 meV/atom

Cell: 8.296 13.758 4.785 Å, 90.00 101.32 90.00°
Space group C2/m (No. 12)
Unique sites:
Li: 0.000 0.000 0.000 (multiplicity 2)
Hg: 0.000 0.229 0.000 (multiplicity 4)
Hg: 0.180 0.354 0.629 (multiplicity 8)
Hg: 0.181 0.500 0.131 (multiplicity 4)
Au: 0.000 0.102 0.500 (multiplicity 4)

***

Entry from the Alexandria database: K4Ce3NdS8 after structural relaxation (PBE).

## Properties
* density of states at the Fermi level: 55.27 states/eV/cell
* uncorrected formation energy: -1.80 eV/atom

Cell: 8.4259 8.4259 22.1049 Å, 90.00 90.00 120.00°
Space group R-3m (No. 166, hexagonal axes)
Unique sites:
K: 0.0000 0.0000 0.0000 (multiplicity 3)
K: 0.0000 0.5000 0.0000 (multiplicity 9)
Ce: 0.0000 0.5000 0.5000 (multiplicity 9)
Nd: 0.0000 0.0000 0.5000 (multiplicity 3)
S: 0.0000 0.0000 0.2352 (multiplicity 6)
S: 0.9996 0.4998 0.2355 (multiplicity 18)

***

Entry from the Alexandria database: PrFe3Si2 after structural relaxation (PBE).

## Properties
* density of states at the Fermi level: 21.90 states/eV/cell
* uncorrected formation energy: -0.46 eV/atom

Cell: 14.812 3.831 7.176 Å, 90.00 114.96 90.00°
Space group C2/m (No. 12)
Unique sites:
Pr: 0.150 0.000 0.061 (multiplicity 4)
Fe: 0.038 0.000 0.387 (multiplicity 4)
Fe: 0.081 0.500 0.636 (multiplicity 4)
Fe: 0.189 0.500 0.458 (multiplicity 4)
Si: 0.023 0.500 0.194 (multiplicity 4)
Si: 0.186 0.000 0.668 (multiplicity 4)

***

Entry from the Alexandria database: Pr2Mg16Cd after structural relaxation (PBE).

## Properties
* density of states at the Fermi level: 22.94 states/eV/cell
* formation energy: -80 meV/atom

Cell: 10.2667 10.2667 15.2217 Å, 90.00 90.00 120.00°
Space group R3m (No. 160, hexagonal axes)
Unique sites:
Pr: 0.0000 0.0000 0.0000 (multiplicity 3)
Pr: 0.0000 0.0000 0.3427 (multiplicity 3)
Mg: 0.0000 0.0000 0.7647 (multiplicity 3)
Mg: 0.0000 0.3006 0.6718 (multiplicity 18)
Mg: 0.0022 0.5011 0.1719 (multiplicity 9)
Mg: 0.0086 0.5043 0.8236 (multiplicity 9)
Mg: 0.1701 0.3401 0.8534 (multiplicity 9)
Cd: 0.0000 0.0000 0.5694 (multiplicity 3)

***

Entry from the Alexandria database: MgTe3 after structural relaxation (PBE).

## Properties
* density of states at the Fermi level: 3.76 states/eV/cell
* uncorrected formation energy: -0.11 eV/atom

Cell: 4.1342 4.1342 8.0743 Å, 90.00 90.00 120.00°
Space group P-6m2 (No. 187)
Unique sites:
Mg: 0.0000 0.0000 0.0000 (multiplicity 1)
Te: 0.0000 0.0000 0.5000 (multiplicity 1)
Te: 0.6667 0.3333 0.2156 (multiplicity 2)

***

Entry from the Alexandria database: MgV2CuSi after structural relaxation (PBE).

## Properties
* density of states at the Fermi level: 6.92 states/eV/cell
* uncorrected formation energy: 1.58 eV/atom

Cell: 4.751 4.751 4.314 Å, 90.00 90.00 90.00°
Space group P4/mmm (No. 123)
Unique sites:
Mg: 0.000 0.000 0.000 (multiplicity 1)
V: 0.000 0.500 0.000 (multiplicity 2)
Cu: 0.000 0.000 0.500 (multiplicity 1)
Si: 0.500 0.500 0.500 (multiplicity 1)

***

Entry from the Alexandria database: Ba3NaAg after structural relaxation (PBE).

## Properties
* density of states at the Fermi level: 20.37 states/eV/cell
* formation energy: -96 meV/atom

Cell: 19.621 4.808 12.849 Å, 90.00 124.97 90.00°
Space group C2/m (No. 12)
Unique sites:
Ba: 0.086 0.000 0.450 (multiplicity 4)
Ba: 0.142 0.500 0.219 (multiplicity 4)
Ba: 0.172 0.500 0.804 (multiplicity 4)
Na: 0.065 0.000 0.926 (multiplicity 4)
Ag: 0.237 0.500 0.555 (multiplicity 4)

***

Entry from the Alexandria database: LiTc2 after structural relaxation (PBE).

## Properties
* density of states at the Fermi level: 1.91 states/eV/cell
* formation energy: 98 meV/atom

Cell: 4.3229 4.3229 2.5597 Å, 90.00 90.00 120.00°
Space group P-3m1 (No. 164)
Unique sites:
Li: 0.0000 0.0000 0.0000 (multiplicity 1)
Tc: 0.3333 0.6667 0.6259 (multiplicity 2)

***

Entry from the Alexandria database: Ac2ZrIn after structural relaxation (PBE).

## Properties
* density of states at the Fermi level: 14.97 states/eV/cell
* formation energy: 381 meV/atom

Cell: 3.5606 3.5606 37.1289 Å, 90.00 90.00 120.00°
Space group R-3m (No. 166, hexagonal axes)
Unique sites:
Ac: 0.0000 0.0000 0.0878 (multiplicity 6)
Zr: 0.0000 0.0000 0.0000 (multiplicity 3)
In: 0.0000 0.0000 0.5000 (multiplicity 3)

***

Entry from the Alexandria database: La2HfGaSn after structural relaxation (PBE).

## Properties
* density of states at the Fermi level: 6.31 states/eV/cell
* formation energy: 354 meV/atom

Cell: 5.684 5.684 5.292 Å, 90.00 90.00 90.00°
Space group P4/mmm (No. 123)
Unique sites:
La: 0.000 0.500 0.000 (multiplicity 2)
Hf: 0.000 0.000 0.000 (multiplicity 1)
Ga: 0.000 0.000 0.500 (multiplicity 1)
Sn: 0.500 0.500 0.500 (multiplicity 1)

***

Entry from the Alexandria database: Cr2HgPb after structural relaxation (PBE).

## Properties
* density of states at the Fermi level: 1.90 states/eV/cell
* formation energy: 384 meV/atom

Cell: 3.134 3.134 8.224 Å, 90.00 90.00 90.00°
Space group P4mm (No. 99)
Unique sites:
Cr: 0.000 0.000 0.000 (multiplicity 1)
Cr: 0.500 0.500 0.137 (multiplicity 1)
Hg: 0.000 0.000 0.376 (multiplicity 1)
Pb: 0.500 0.500 0.731 (multiplicity 1)

***

Entry from the Alexandria database: Y3AlFe8 after structural relaxation (PBE).

## Properties
* density of states at the Fermi level: 35.96 states/eV/cell
* formation energy: -92 meV/atom

Cell: 5.0495 5.0495 24.7114 Å, 90.00 90.00 120.00°
Space group R3m (No. 160, hexagonal axes)
Unique sites:
Y: 0.0000 0.0000 0.0000 (multiplicity 3)
Y: 0.0000 0.0000 0.1272 (multiplicity 3)
Y: 0.0000 0.0000 0.6207 (multiplicity 3)
Al: 0.0000 0.0000 0.4977 (multiplicity 3)
Fe: 0.0000 0.0000 0.3125 (multiplicity 3)
Fe: 0.0000 0.0000 0.8124 (multiplicity 3)
Fe: 0.9996 0.4998 0.5595 (multiplicity 9)
Fe: 0.0041 0.5021 0.0649 (multiplicity 9)

***

Entry from the Alexandria database: RbPuZnS3 after structural relaxation (PBE).

## Properties
* density of states at the Fermi level: 17.76 states/eV/cell
* uncorrected formation energy: -1.29 eV/atom

Cell: 9.055 4.065 9.674 Å, 90.00 108.00 90.00°
Space group P2_1/m (No. 11)
Unique sites:
Rb: 0.207 0.250 0.233 (multiplicity 2)
Pu: 0.331 0.750 0.854 (multiplicity 2)
Zn: 0.085 0.250 0.609 (multiplicity 2)
S: 0.120 0.250 0.855 (multiplicity 2)
S: 0.187 0.750 0.535 (multiplicity 2)
S: 0.467 0.750 0.148 (multiplicity 2)

***

Entry from the Alexandria database: Ac3PtAu3 after structural relaxation (PBE).

## Properties
* density of states at the Fermi level: 8.34 states/eV/cell
* formation energy: -899 meV/atom

Cell: 4.240 4.664 20.545 Å, 90.00 90.00 90.00°
Space group Imm2 (No. 44)
Unique sites:
Ac: 0.000 0.000 0.000 (multiplicity 2)
Ac: 0.000 0.000 0.359 (multiplicity 2)
Ac: 0.000 0.500 0.189 (multiplicity 2)
Pt: 0.000 0.500 0.749 (multiplicity 2)
Au: 0.000 0.000 0.526 (multiplicity 2)
Au: 0.000 0.000 0.836 (multiplicity 2)
Au: 0.000 0.500 0.617 (multiplicity 2)

***

Entry from the Alexandria database: Tm2InAu2 after structural relaxation (PBE).

## Properties
* density of states at the Fermi level: 8.31 states/eV/cell
* formation energy: -810 meV/atom

Cell: 7.848 7.848 3.735 Å, 90.00 90.00 90.00°
Space group P4/mbm (No. 127)
Unique sites:
Tm: 0.168 0.332 0.000 (multiplicity 4)
In: 0.000 0.000 0.500 (multiplicity 2)
Au: 0.130 0.630 0.500 (multiplicity 4)

***

Entry from the Alexandria database: HoLuAlCo after structural relaxation (PBE).

## Properties
* density of states at the Fermi level: 12.88 states/eV/cell
* formation energy: -238 meV/atom

Cell: 6.907 6.907 6.907 Å, 90.00 90.00 90.00°
Space group F-43m (No. 216)
Unique sites:
Ho: 0.000 0.000 0.000 (multiplicity 4)
Lu: 0.000 0.000 0.500 (multiplicity 4)
Al: 0.250 0.250 0.750 (multiplicity 4)
Co: 0.250 0.250 0.250 (multiplicity 4)

***

Entry from the Alexandria database: DyEr4Te5 after structural relaxation (PBE).

## Properties
* density of states at the Fermi level: 10.41 states/eV/cell
* uncorrected formation energy: -1.23 eV/atom

Cell: 4.280 4.280 31.316 Å, 90.00 90.00 90.00°
Space group I4/mmm (No. 139)
Unique sites:
Dy: 0.000 0.000 0.000 (multiplicity 2)
Er: 0.000 0.000 0.210 (multiplicity 4)
Er: 0.000 0.000 0.407 (multiplicity 4)
Te: 0.000 0.000 0.104 (multiplicity 4)
Te: 0.000 0.000 0.307 (multiplicity 4)
Te: 0.000 0.000 0.500 (multiplicity 2)

***

Entry from the Alexandria database: Ca2AlBiOs after structural relaxation (PBE).

## Properties
* density of states at the Fermi level: 5.08 states/eV/cell
* formation energy: 875 meV/atom

Cell: 5.882 5.882 4.993 Å, 90.00 90.00 90.00°
Space group P4/mmm (No. 123)
Unique sites:
Ca: 0.000 0.500 0.000 (multiplicity 2)
Al: 0.000 0.000 0.500 (multiplicity 1)
Bi: 0.500 0.500 0.000 (multiplicity 1)
Os: 0.500 0.500 0.500 (multiplicity 1)

***

Entry from the Alexandria database: CePmCdIr after structural relaxation (PBE).

## Properties
* density of states at the Fermi level: 27.60 states/eV/cell
* formation energy: -370 meV/atom

Cell: 7.297 7.297 7.297 Å, 90.00 90.00 90.00°
Space group F-43m (No. 216)
Unique sites:
Ce: 0.000 0.000 0.000 (multiplicity 4)
Pm: 0.000 0.000 0.500 (multiplicity 4)
Cd: 0.250 0.250 0.250 (multiplicity 4)
Ir: 0.250 0.250 0.750 (multiplicity 4)

***

Entry from the Alexandria database: ZnTeSe after structural relaxation (PBE).

## Properties
* density of states at the Fermi level: 1.65 states/eV/cell
* uncorrected formation energy: -0.26 eV/atom

Cell: 3.330 6.478 8.536 Å, 71.78 78.92 89.45°
Space group P-1 (No. 2)
Unique sites:
Zn: 0.193 0.118 0.111 (multiplicity 2)
Te: 0.053 0.224 0.390 (multiplicity 2)
Se: 0.196 0.727 0.120 (multiplicity 2)

***

Entry from the Alexandria database: CePaZnGa after structural relaxation (PBE).

## Properties
* density of states at the Fermi level: 35.40 states/eV/cell
* formation energy: -116 meV/atom

Cell: 7.145 7.145 7.145 Å, 90.00 90.00 90.00°
Space group F-43m (No. 216)
Unique sites:
Ce: 0.000 0.000 0.000 (multiplicity 4)
Pa: 0.000 0.000 0.500 (multiplicity 4)
Zn: 0.250 0.250 0.750 (multiplicity 4)
Ga: 0.250 0.250 0.250 (multiplicity 4)